No. 1
An optimized crystal structure of SiC, computed with GGA-PBE.

**Relative energy among the computed polymorphs**: 2.069 eV per atom
**ΔE_f (raw)**: 1.8624 eV/atom

Unit cell a=2.6418 b=2.6418 c=2.6418 alpha=90.00 beta=90.00 gamma=90.00
Space group Pm-3m (No. 221)
Unique sites:
Si 0.0000 0.0000 0.0000 (multiplicity 1)
C 0.5000 0.5000 0.5000 (multiplicity 1)

=====

No. 2
An optimized crystal structure of SiC2, computed with GGA-PBE.

**Relative energy among the computed polymorphs**: 0.510 eV per atom
**ΔE_f (raw)**: 0.8418 eV/atom

Unit cell a=4.7938 b=4.7938 c=4.7938 alpha=90.00 beta=90.00 gamma=90.00
Space group Pa-3 (No. 205)
Unique sites:
Si 0.0000 0.0000 0.0000 (multiplicity 4)
C 0.0816 0.5816 0.9184 (multiplicity 8)

=====

No. 3
An optimized crystal structure of SiC, computed with GGA-PBE.

**Relative energy among the computed polymorphs**: 0.373 eV per atom
**ΔE_f (raw)**: 0.1668 eV/atom

Unit cell a=8.4323 b=8.4323 c=3.1479 alpha=90.00 beta=90.00 gamma=90.00
Space group P4/m (No. 83)
Unique sites:
Si 0.0984 0.6151 0.0000 (multiplicity 4)
Si 0.1298 0.2815 0.5000 (multiplicity 4)
C 0.1080 0.7353 0.5000 (multiplicity 4)
C 0.1383 0.3999 0.0000 (multiplicity 4)

=====

No. 4
An optimized crystal structure of SiC, computed with GGA-PBE.

**Relative energy among the computed polymorphs**: 0.465 eV per atom
**ΔE_f (raw)**: 0.2584 eV/atom

Unit cell a=3.0824 b=5.6628 c=5.2431 alpha=90.00 beta=90.00 gamma=90.00
Space group Imm2 (No. 44)
Unique sites:
Si 0.0000 0.2072 0.0000 (multiplicity 4)
C 0.0000 0.1426 0.6315 (multiplicity 4)

=====

No. 5
An optimized crystal structure of Si2C, computed with GGA-PBE.

**Relative energy among the computed polymorphs**: 1.147 eV per atom
**ΔE_f (raw)**: 1.4949 eV/atom

Unit cell a=4.1567 b=4.1567 c=4.5197 alpha=90.00 beta=90.00 gamma=120.00
Space group P6_3/mmc (No. 194)
Unique sites:
Si 0.0000 0.0000 0.0000 (multiplicity 2)
Si 0.3333 0.6667 0.2500 (multiplicity 2)
C 0.3333 0.6667 0.7500 (multiplicity 2)

=====

No. 6
An optimized crystal structure of Si4C3, computed with GGA-PBE.

**Relative energy among the computed polymorphs**: 0.000 eV per atom
**ΔE_f (raw)**: 0.2676 eV/atom

Unit cell a=4.3611 b=4.3611 c=4.3611 alpha=90.00 beta=90.00 gamma=90.00
Space group P-43m (No. 215)
Unique sites:
Si 0.2485 0.2485 0.7515 (multiplicity 4)
C 0.0000 0.5000 0.5000 (multiplicity 3)

=====

No. 7
An optimized crystal structure of SiC, computed with GGA-PBE.

**Relative energy among the computed polymorphs**: 0.000 eV per atom
**ΔE_f (raw)**: -0.2062 eV/atom

Unit cell a=3.0952 b=3.0952 c=20.2429 alpha=90.00 beta=90.00 gamma=120.00
Space group P6_3mc (No. 186)
Unique sites:
Si 0.0000 0.0000 0.0000 (multiplicity 2)
Si 0.3333 0.6667 0.1249 (multiplicity 2)
Si 0.3333 0.6667 0.3751 (multiplicity 2)
Si 0.3333 0.6667 0.7500 (multiplicity 2)
C 0.0000 0.0000 0.0938 (multiplicity 2)
C 0.3333 0.6667 0.2186 (multiplicity 2)
C 0.3333 0.6667 0.4688 (multiplicity 2)
C 0.3333 0.6667 0.8440 (multiplicity 2)

=====

No. 8
An optimized crystal structure of SiC, computed with GGA-PBE.

**Relative energy among the computed polymorphs**: 0.424 eV per atom
**ΔE_f (raw)**: 0.2173 eV/atom

Unit cell a=8.4015 b=3.1258 c=6.5136 alpha=90.00 beta=126.00 gamma=90.00
Space group Cm (No. 8)
Unique sites:
Si 0.0000 0.0000 0.0000 (multiplicity 2)
Si 0.1182 0.0000 0.6158 (multiplicity 2)
Si 0.2771 0.5000 0.3544 (multiplicity 2)
C 0.1285 0.5000 0.9840 (multiplicity 2)
C 0.1591 0.0000 0.3654 (multiplicity 2)
C 0.2154 0.5000 0.8235 (multiplicity 2)